[1]
Compound: Ni6Pt2Rh3
Source: the Alexandria database
Functional: PBE
Structure: optimized geometry

Values from the calculation:
energy of formation	111	meV per atom
SG	P2/m
calculated density	12.0	g/cm³

Cell lengths 2.636, 8.783, 6.307 Å; angles 89.44, 90.00, 90.00 degrees
Last column: magnetic moment on the atom in μB.
Fractional positions:
Ni 0.500 0.357 0.537  0.72
Pt 0.000 0.469 0.210  0.32
Rh 0.000 0.163 0.289  0.67
Ni 0.500 0.714 0.060  0.80
Pt 0.000 0.531 0.790  0.32
Ni 0.500 0.643 0.463  0.72
Ni 0.500 0.904 0.366  0.83
Rh 0.000 0.837 0.711  0.67
Ni 0.500 0.286 0.940  0.80
Ni 0.500 0.096 0.634  0.83
Rh 0.500 0.000 0.000  0.69

---

[2]
Compound: Ni3Pt4Rh
Source: the Alexandria database
Functional: PBE
Structure: optimized geometry

Values from the calculation:
energy of formation	-72	meV per atom
SG	I4/mmm
E above lowest polymorph	0.00	kcal/mol of atoms
calculated density	15.9	g/cm³

Cell lengths 3.844, 3.844, 7.969 Å; angles 103.94, 103.96, 90.00 degrees
Last column: magnetic moment on the atom in μB.
Fractional positions:
Pt 0.128 0.128 0.257  0.21
Pt 0.872 0.872 0.743  0.21
Pt 0.628 0.628 0.257  0.21
Rh 0.500 0.000 0.000  0.25
Ni 0.250 0.750 0.500  0.64
Ni 0.750 0.250 0.500  0.64
Ni 0.000 0.500 0.000  0.75
Pt 0.372 0.372 0.743  0.21

---

[3]
Compound: NiPt8Rh2
Source: the Alexandria database
Functional: PBE
Structure: optimized geometry

Values from the calculation:
energy of formation	274	meV per atom
SG	C2/m
E above lowest polymorph	7.12	kcal/mol of atoms
calculated density	16.7	g/cm³

Cell lengths 4.634, 6.763, 6.763 Å; angles 62.09, 78.00, 78.00 degrees
Fractional positions:
Pt 0.203 0.772 0.373
Pt 0.797 0.627 0.228
Rh 0.513 0.882 0.882
Pt 0.083 0.775 0.775
Pt 0.337 0.358 0.358
Pt 0.917 0.225 0.225
Rh 0.487 0.118 0.118
Pt 0.797 0.228 0.627
Ni 0.000 0.000 0.000
Pt 0.203 0.373 0.772
Pt 0.663 0.642 0.642

---

[4]
Compound: Ni4Pt2Rh
Source: the Alexandria database
Functional: PBE
Structure: optimized geometry

Values from the calculation:
energy of formation	471	meV per atom
SG	I4/mmm
calculated density	12.0	g/cm³

Cell lengths 4.645, 4.645, 5.715 Å; angles 113.98, 113.98, 90.00 degrees
Last column: magnetic moment on the atom in μB.
Fractional positions:
Ni 0.500 0.000 0.000  0.75
Rh 0.000 0.000 0.000  1.01
Pt 0.643 0.643 0.285  0.20
Ni 0.250 0.750 0.500  0.69
Ni 0.750 0.250 0.500  0.69
Ni 0.000 0.500 0.000  0.75
Pt 0.357 0.357 0.715  0.20

---

[5]
Compound: Ni2Pt6Rh
Source: the Alexandria database
Functional: PBE
Structure: optimized geometry

Values from the calculation:
energy of formation	348	meV per atom
SG	R3
E above lowest polymorph	8.84	kcal/mol of atoms
calculated density	15.0	g/cm³

Cell lengths 5.226, 5.226, 7.167 Å; angles 68.62, 68.62, 60.00 degrees
Last column: magnetic moment on the atom in μB.
Fractional positions:
Pt 0.206 0.780 0.662  0.12
Pt 0.573 0.055 0.298  0.07
Pt 0.075 0.573 0.298  0.07
Pt 0.352 0.206 0.662  0.12
Pt 0.055 0.075 0.298  0.07
Rh 0.341 0.341 0.977  0.24
Ni 0.708 0.708 0.876  0.97
Pt 0.780 0.352 0.662  0.12
Ni 0.576 0.576 0.271  0.57

---

[6]
Compound: NiPt6Rh2
Source: the Alexandria database
Functional: PBE
Structure: optimized geometry

Values from the calculation:
energy of formation	-18	meV per atom
SG	C2/m
E above lowest polymorph	0.50	kcal/mol of atoms
calculated density	17.7	g/cm³

Cell lengths 2.783, 7.290, 8.286 Å; angles 124.43, 90.00, 101.01 degrees
Last column: magnetic moment on the atom in μB.
Fractional positions:
Ni 0.000 0.000 0.500  0.94
Pt 0.668 0.336 0.166  0.14
Pt 0.339 0.677 0.497  0.24
Rh 0.666 0.333 0.832  0.58
Pt 0.332 0.664 0.834  0.14
Pt 0.002 0.005 0.828  0.20
Pt 0.661 0.323 0.503  0.24
Pt 0.998 0.995 0.172  0.20
Rh 0.334 0.667 0.168  0.58